Record 1
This record from the Open Quantum Materials Database describes an optimized crystal structure of TlOs3N5. The functional is GGA-PBE.

Cell and atoms, written as CIF:
```
data_TlOs3N5
_chemical_formula_sum 'Tl1 Os3 N5'
_symmetry_space_group_name_H-M 'P 1'
_symmetry_Int_Tables_number 1
_cell_length_a 5.3267
_cell_length_b 5.3267
_cell_length_c 5.4822
_cell_angle_alpha 90.00
_cell_angle_beta 90.00
_cell_angle_gamma 120.00
loop_
_symmetry_equiv_pos_as_xyz
'x,y,z'
loop_
_atom_site_label
_atom_site_type_symbol
_atom_site_fract_x
_atom_site_fract_y
_atom_site_fract_z
N1 N 0.3333 0.6667 0.2641
N2 N 0.3333 0.6667 0.7359
N3 N 0.6667 0.3333 0.7359
N4 N 0.0000 0.0000 0.5000
N5 N 0.6667 0.3333 0.2641
Os1 Os 0.0000 0.5000 0.5000
Os2 Os 0.5000 0.5000 0.5000
Os3 Os 0.5000 0.0000 0.5000
Tl1 Tl 0.0000 0.0000 0.0000
```

Results
Magnetization: 1.37 μB/cell
Crystal system: hexagonal
Energy: -66.09 eV per cell

Record 2
This record from the Open Quantum Materials Database describes an optimized crystal structure of Zn2In. The functional is GGA-PBE.

Cell and atoms, written as CIF:
```
data_Zn2In
_chemical_formula_sum 'Zn4 In2'
_symmetry_space_group_name_H-M 'P 1'
_symmetry_Int_Tables_number 1
_cell_length_a 5.4251
_cell_length_b 5.4251
_cell_length_c 5.4251
_cell_angle_alpha 60.00
_cell_angle_beta 60.00
_cell_angle_gamma 60.00
loop_
_symmetry_equiv_pos_as_xyz
'x,y,z'
loop_
_atom_site_label
_atom_site_type_symbol
_atom_site_fract_x
_atom_site_fract_y
_atom_site_fract_z
Zn1 Zn 0.6250 0.1250 0.6250
Zn2 Zn 0.6250 0.6250 0.6250
Zn3 Zn 0.1250 0.6250 0.6250
Zn4 Zn 0.6250 0.6250 0.1250
In1 In 0.0000 0.0000 0.0000
In2 In 0.2500 0.2500 0.2500
```

Results
Crystal system: cubic
Energy: -10.09 eV per cell

Record 3
This record from the Open Quantum Materials Database describes an optimized crystal structure of KHgIr. The functional is GGA-PBE.

Cell and atoms, written as CIF:
```
data_KHgIr
_chemical_formula_sum 'K1 Hg1 Ir1'
_symmetry_space_group_name_H-M 'P 1'
_symmetry_Int_Tables_number 1
_cell_length_a 4.8354
_cell_length_b 4.8354
_cell_length_c 4.8354
_cell_angle_alpha 60.00
_cell_angle_beta 60.00
_cell_angle_gamma 60.00
loop_
_symmetry_equiv_pos_as_xyz
'x,y,z'
loop_
_atom_site_label
_atom_site_type_symbol
_atom_site_fract_x
_atom_site_fract_y
_atom_site_fract_z
Ir1 Ir 0.0000 0.0000 0.0000
Hg1 Hg 0.2500 0.2500 0.2500
K1 K 0.7500 0.7500 0.7500
```

Results
Magnetization: 0.02 μB/cell
Crystal system: cubic
Energy: -7.66 eV per cell

Record 4
This record from the Open Quantum Materials Database describes an optimized crystal structure of PrYGa4Ir2. The functional is GGA-PBE.

Cell and atoms, written as CIF:
```
data_PrYGa4Ir2
_chemical_formula_sum 'Pr1 Y1 Ga4 Ir2'
_symmetry_space_group_name_H-M 'P 1'
_symmetry_Int_Tables_number 1
_cell_length_a 4.2130
_cell_length_b 7.0957
_cell_length_c 5.6287
_cell_angle_alpha 90.00
_cell_angle_beta 111.56
_cell_angle_gamma 90.00
loop_
_symmetry_equiv_pos_as_xyz
'x,y,z'
loop_
_atom_site_label
_atom_site_type_symbol
_atom_site_fract_x
_atom_site_fract_y
_atom_site_fract_z
Y1 Y 0.0699 0.0000 0.1400
Ga1 Ga 0.3520 0.1933 0.7001
Ga2 Ga 0.6471 0.7005 0.2982
Ga3 Ga 0.3520 0.8067 0.7001
Ga4 Ga 0.6471 0.2995 0.2982
Pr1 Pr 0.9312 0.5000 0.8624
Ir1 Ir 0.2106 0.5000 0.4264
Ir2 Ir 0.7902 0.0000 0.5746
```

Results
Magnetization: 0.01 μB/cell
Crystal system: monoclinic
Energy: -46.75 eV per cell

Record 5
This record from the Open Quantum Materials Database describes an optimized crystal structure of Nb4ZnSbC2. The functional is GGA-PBE.

Cell and atoms, written as CIF:
```
data_Nb4ZnSbC2
_chemical_formula_sum 'Nb4 Zn1 Sb1 C2'
_symmetry_space_group_name_H-M 'P 1'
_symmetry_Int_Tables_number 1
_cell_length_a 3.2647
_cell_length_b 3.2647
_cell_length_c 13.3853
_cell_angle_alpha 90.00
_cell_angle_beta 90.00
_cell_angle_gamma 120.00
loop_
_symmetry_equiv_pos_as_xyz
'x,y,z'
loop_
_atom_site_label
_atom_site_type_symbol
_atom_site_fract_x
_atom_site_fract_y
_atom_site_fract_z
C1 C 0.3333 0.6667 0.2534
C2 C 0.3333 0.6667 0.7466
Sb1 Sb 0.0000 0.0000 0.0000
Nb1 Nb 0.6667 0.3333 0.8361
Nb2 Nb 0.0000 0.0000 0.6623
Nb3 Nb 0.6667 0.3333 0.1639
Nb4 Nb 0.0000 0.0000 0.3377
Zn1 Zn 0.6667 0.3333 0.5000
```

Results
Magnetization: 0.00 μB/cell
Crystal system: hexagonal
Energy: -67.00 eV per cell

Record 6
This record from the Open Quantum Materials Database describes an optimized crystal structure of Ba3Hg2Mo2. The functional is GGA-PBE.

Cell and atoms, written as CIF:
```
data_Ba3Hg2Mo2
_chemical_formula_sum 'Ba3 Hg2 Mo2'
_symmetry_space_group_name_H-M 'P 1'
_symmetry_Int_Tables_number 1
_cell_length_a 9.9155
_cell_length_b 9.9155
_cell_length_c 9.9155
_cell_angle_alpha 33.14
_cell_angle_beta 33.14
_cell_angle_gamma 33.14
loop_
_symmetry_equiv_pos_as_xyz
'x,y,z'
loop_
_atom_site_label
_atom_site_type_symbol
_atom_site_fract_x
_atom_site_fract_y
_atom_site_fract_z
Ba1 Ba 0.8625 0.8625 0.8625
Ba2 Ba 0.6240 0.6240 0.6240
Ba3 Ba 0.3914 0.3914 0.3914
Hg1 Hg 0.7431 0.7431 0.7431
Hg2 Hg 0.2219 0.2219 0.2219
Mo1 Mo 0.5093 0.5093 0.5093
Mo2 Mo 0.0228 0.0228 0.0228
```

Results
Magnetization: 7.14 μB/cell
Crystal system: trigonal
Energy: -21.58 eV per cell

Record 7
This record from the Open Quantum Materials Database describes an optimized crystal structure of Hf3ZrSb2P2. The functional is GGA-PBE.

Cell and atoms, written as CIF:
```
data_Hf3ZrSb2P2
_chemical_formula_sum 'Hf3 Zr1 Sb2 P2'
_symmetry_space_group_name_H-M 'P 1'
_symmetry_Int_Tables_number 1
_cell_length_a 3.8148
_cell_length_b 3.8148
_cell_length_c 13.2244
_cell_angle_alpha 90.00
_cell_angle_beta 90.00
_cell_angle_gamma 120.00
loop_
_symmetry_equiv_pos_as_xyz
'x,y,z'
loop_
_atom_site_label
_atom_site_type_symbol
_atom_site_fract_x
_atom_site_fract_y
_atom_site_fract_z
Hf1 Hf 0.3333 0.6667 0.3992
Hf2 Hf 0.6667 0.3333 0.8968
Hf3 Hf 0.6667 0.3333 0.6022
Zr1 Zr 0.3333 0.6667 0.1022
Sb1 Sb 0.6667 0.3333 0.2523
Sb2 Sb 0.3333 0.6667 0.7495
P1 P 0.0000 0.0000 0.9973
P2 P 0.0000 0.0000 0.5006
```

Results
Magnetization: 0.01 μB/cell
Crystal system: trigonal
Energy: -65.69 eV per cell

Record 8
This record from the Open Quantum Materials Database describes an optimized crystal structure of Hf2InNi2Bi. The functional is GGA-PBE.

Cell and atoms, written as CIF:
```
data_Hf2InNi2Bi
_chemical_formula_sum 'Hf4 In2 Ni4 Bi2'
_symmetry_space_group_name_H-M 'P 1'
_symmetry_Int_Tables_number 1
_cell_length_a 6.1661
_cell_length_b 6.1661
_cell_length_c 7.5651
_cell_angle_alpha 65.95
_cell_angle_beta 65.95
_cell_angle_gamma 90.00
loop_
_symmetry_equiv_pos_as_xyz
'x,y,z'
loop_
_atom_site_label
_atom_site_type_symbol
_atom_site_fract_x
_atom_site_fract_y
_atom_site_fract_z
In1 In 0.2500 0.7500 0.5000
In2 In 0.0000 0.0000 0.0000
Ni1 Ni 0.3757 0.3750 0.7500
Ni2 Ni 0.6250 0.1257 0.2500
Ni3 Ni 0.8743 0.8750 0.7500
Ni4 Ni 0.1250 0.6243 0.2500
Hf1 Hf 0.7560 0.7560 0.4879
Hf2 Hf 0.0060 0.5060 0.9879
Hf3 Hf 0.2440 0.2440 0.5121
Hf4 Hf 0.4940 0.9940 0.0121
Bi1 Bi 0.7500 0.2500 0.5000
Bi2 Bi 0.5000 0.5000 0.0000
```

Results
Magnetization: 0.00 μB/cell
Crystal system: tetragonal
Energy: -80.54 eV per cell

Record 9
This record from the Open Quantum Materials Database describes an optimized crystal structure of Er2CuSi. The functional is GGA-PBE.

Cell and atoms, written as CIF:
```
data_Er2CuSi
_chemical_formula_sum 'Er4 Cu2 Si2'
_symmetry_space_group_name_H-M 'P 1'
_symmetry_Int_Tables_number 1
_cell_length_a 4.0945
_cell_length_b 7.2744
_cell_length_c 5.6795
_cell_angle_alpha 90.00
_cell_angle_beta 90.00
_cell_angle_gamma 90.00
loop_
_symmetry_equiv_pos_as_xyz
'x,y,z'
loop_
_atom_site_label
_atom_site_type_symbol
_atom_site_fract_x
_atom_site_fract_y
_atom_site_fract_z
Cu1 Cu 0.5000 0.7183 0.6130
Cu2 Cu 0.0000 0.2817 0.1130
Er1 Er 0.0000 0.4358 0.6409
Er2 Er 0.5000 0.5642 0.1409
Er3 Er 0.5000 0.0866 0.3750
Er4 Er 0.0000 0.9134 0.8750
Si1 Si 0.0000 0.7973 0.3710
Si2 Si 0.5000 0.2027 0.8710
```

Results
Magnetization: 1.34 μB/cell
Crystal system: orthorhombic
Energy: -40.79 eV per cell

Record 10
This record from the Open Quantum Materials Database describes an optimized crystal structure of ZrZn2InPd4. The functional is GGA-PBE.

Cell and atoms, written as CIF:
```
data_ZrZn2InPd4
_chemical_formula_sum 'Zr1 Zn2 In1 Pd4'
_symmetry_space_group_name_H-M 'P 1'
_symmetry_Int_Tables_number 1
_cell_length_a 4.6616
_cell_length_b 4.6616
_cell_length_c 6.0849
_cell_angle_alpha 90.00
_cell_angle_beta 90.00
_cell_angle_gamma 90.00
loop_
_symmetry_equiv_pos_as_xyz
'x,y,z'
loop_
_atom_site_label
_atom_site_type_symbol
_atom_site_fract_x
_atom_site_fract_y
_atom_site_fract_z
Pd1 Pd 0.5000 0.0000 0.2535
Pd2 Pd 0.5000 0.0000 0.7465
Pd3 Pd 0.0000 0.5000 0.2535
Pd4 Pd 0.0000 0.5000 0.7465
Zr1 Zr 0.5000 0.5000 0.0000
Zn1 Zn 0.0000 0.0000 0.0000
Zn2 Zn 0.5000 0.5000 0.5000
In1 In 0.0000 0.0000 0.5000
```

Results
Magnetization: 0.01 μB/cell
Crystal system: tetragonal
Energy: -39.09 eV per cell

Record 11
This record from the Open Quantum Materials Database describes an optimized crystal structure of HfZr2Co4As4. The functional is GGA-PBE.

Cell and atoms, written as CIF:
```
data_HfZr2Co4As4
_chemical_formula_sum 'Hf1 Zr2 Co4 As4'
_symmetry_space_group_name_H-M 'P 1'
_symmetry_Int_Tables_number 1
_cell_length_a 6.3714
_cell_length_b 3.8523
_cell_length_c 7.1687
_cell_angle_alpha 90.00
_cell_angle_beta 91.26
_cell_angle_gamma 90.00
loop_
_symmetry_equiv_pos_as_xyz
'x,y,z'
loop_
_atom_site_label
_atom_site_type_symbol
_atom_site_fract_x
_atom_site_fract_y
_atom_site_fract_z
Co1 Co 0.1556 0.5000 0.5591
Co2 Co 0.8517 0.0000 0.4454
Co3 Co 0.3768 0.0000 0.0543
Co4 Co 0.6521 0.5000 0.9349
Zr1 Zr 0.4710 0.0000 0.6803
Zr2 Zr 0.5117 0.5000 0.3031
As1 As 0.7767 0.5000 0.6146
As2 As 0.7510 0.0000 0.1251
As3 As 0.2661 0.5000 0.9041
As4 As 0.2022 0.0000 0.3586
Hf1 Hf 0.9831 0.0000 0.8231
```

Results
Magnetization: 0.35 μB/cell
Crystal system: monoclinic
Energy: -81.61 eV per cell

Record 12
This record from the Open Quantum Materials Database describes an optimized crystal structure of BeZn2CoCu4. The functional is GGA-PBE.

Cell and atoms, written as CIF:
```
data_BeZn2CoCu4
_chemical_formula_sum 'Be1 Zn2 Co1 Cu4'
_symmetry_space_group_name_H-M 'P 1'
_symmetry_Int_Tables_number 1
_cell_length_a 3.9280
_cell_length_b 3.9280
_cell_length_c 6.0064
_cell_angle_alpha 90.00
_cell_angle_beta 90.00
_cell_angle_gamma 90.00
loop_
_symmetry_equiv_pos_as_xyz
'x,y,z'
loop_
_atom_site_label
_atom_site_type_symbol
_atom_site_fract_x
_atom_site_fract_y
_atom_site_fract_z
Cu1 Cu 0.5000 0.0000 0.2388
Cu2 Cu 0.0000 0.5000 0.2388
Cu3 Cu 0.0000 0.5000 0.7612
Cu4 Cu 0.5000 0.0000 0.7612
Zn1 Zn 0.0000 0.0000 0.0000
Zn2 Zn 0.5000 0.5000 0.5000
Co1 Co 0.0000 0.0000 0.5000
Be1 Be 0.5000 0.5000 0.0000
```

Results
Magnetization: 1.09 μB/cell
Crystal system: tetragonal
Energy: -27.98 eV per cell